# HgAsHPb2, relaxed, DFT GGA-PBE
data_HgAsHPb2
_chemical_formula_sum 'Hg1 As1 H1 Pb2'
_cell_length_a 5.997
_cell_length_b 5.997
_cell_length_c 3.367
_cell_angle_alpha 90.00
_cell_angle_beta 90.00
_cell_angle_gamma 90.00
_symmetry_space_group_name_H-M 'P 4/m m m'
_symmetry_Int_Tables_number 123
_symmetry_space_group_name_Hall '-P 4 2'
loop_
_atom_site_label
_atom_site_type_symbol
_atom_site_fract_x
_atom_site_fract_y
_atom_site_fract_z
Hg1 Hg 0.000 0.000 0.000
As1 As 0.500 0.500 0.500
H1 H 0.500 0.500 0.000
Pb1 Pb 0.000 0.500 0.500
# Uncorrected energy ... -14.83 eV per formula unit

---

# Sm8Cu2Hg, relaxed, DFT GGA-PBE
data_Sm8Cu2Hg
_chemical_formula_sum 'Sm16 Cu4 Hg2'
_cell_length_a 18.113
_cell_length_b 5.181
_cell_length_c 7.088
_cell_angle_alpha 90.00
_cell_angle_beta 108.16
_cell_angle_gamma 90.00
_symmetry_space_group_name_H-M 'C 1 2/m 1'
_symmetry_Int_Tables_number 12
loop_
_symmetry_equiv_pos_as_xyz
'x,y,z'
'-x,-y,-z'
'-x,y,-z'
'x,-y,z'
'x+1/2,y+1/2,z'
'-x+1/2,-y+1/2,-z'
'-x+1/2,y+1/2,-z'
'x+1/2,-y+1/2,z'
loop_
_atom_site_label
_atom_site_type_symbol
_atom_site_fract_x
_atom_site_fract_y
_atom_site_fract_z
Sm1 Sm 0.033 0.000 0.270
Sm2 Sm 0.093 0.500 0.971
Sm3 Sm 0.176 0.500 0.490
Sm4 Sm 0.196 0.000 0.833
Cu1 Cu 0.181 0.000 0.217
Hg1 Hg 0.000 0.500 0.500
# Relative energy among the computed polymorphs ... 0.0 kJ/mol of formula units
# Uncorrected energy ... -47.61 eV per formula unit
# Energy of formation ... -1.37 eV per formula unit

---

# Cu3H12Rh5, relaxed, DFT GGA-PBE
data_Cu3H12Rh5
_chemical_formula_sum 'Cu24 H96 Rh40'
_cell_length_a 10.686
_cell_length_b 10.686
_cell_length_c 10.686
_cell_angle_alpha 90.00
_cell_angle_beta 90.00
_cell_angle_gamma 90.00
_symmetry_space_group_name_H-M 'I a -3 d'
_symmetry_Int_Tables_number 230
_symmetry_space_group_name_Hall '-I 4bd 2c 3'
loop_
_atom_site_label
_atom_site_type_symbol
_atom_site_fract_x
_atom_site_fract_y
_atom_site_fract_z
Cu1 Cu 0.000 0.250 0.125
H1 H 0.021 0.070 0.649
Rh1 Rh 0.000 0.000 0.000
Rh2 Rh 0.000 0.250 0.375
# Uncorrected energy ... -87.33 eV per formula unit

---

uncorrected energy of number 2 (Sm8Cu2Hg)?
-47.61 eV per formula unit